1.
Material: Y6AsP2S3
Method: DFT, PBE
State: relaxed

Output
Space group: C2/m, No. 12

Structure (POSCAR):
```
Y6AsP2S3
1.0
8.702 -1.996 0.000
8.702 1.996 0.000
-1.827 0.000 7.765
Y As P S
6 1 2 3
Direct
0.003 0.003 0.253
0.331 0.331 0.422
0.332 0.332 0.908
0.668 0.668 0.092
0.669 0.669 0.578
0.997 0.997 0.747
0.500 0.500 0.000
0.167 0.167 0.334
0.833 0.833 0.666
0.166 0.166 0.833
0.500 0.500 0.500
0.834 0.834 0.167
```

2.
Material: YAsP2S
Method: DFT, PBE
State: relaxed

Output
Space group: P4/mmm, No. 123
Relative energy among the computed polymorphs in eV/f.u.: 3.70

Structure (POSCAR):
```
YAsP2S
1.0
5.312 0.000 0.000
0.000 5.312 0.000
0.000 0.000 5.047
Y As P S
1 1 2 1
Direct
0.000 0.000 0.000
0.500 0.500 0.500
0.000 0.500 0.000
0.500 0.000 0.000
0.000 0.000 0.500
```

3.
Material: SbAsP4
Method: DFT, PBE
State: relaxed

Output
Space group: F-43m, No. 216

Structure (POSCAR):
```
SbAsP4
1.0
0.000 3.931 3.931
3.931 0.000 3.931
3.931 3.931 0.000
Sb As P
1 1 4
Direct
0.000 0.000 0.000
0.750 0.750 0.750
0.398 0.398 0.398
0.398 0.398 0.806
0.398 0.806 0.398
0.806 0.398 0.398
```

VASP energy for the records above, in order: -88.900, -22.544, -26.360 eV/cell